Below is crystalline GdF3 at its relaxed geometry, with properties calculated at the PBE level.

The crystal system is orthorhombic. As for the uncorrected formation energy: -3.949 eV/atom. The space group is Imm2. As for the total magnetic moment: 7.0 μB/f.u.

Cell and atoms, written as POSCAR:
```
GdF3
1.0
-1.788 3.203 2.426
1.788 -3.203 2.426
1.788 3.203 -2.426
Gd F
1 3
direct
0.000 0.000 0.000
0.275 0.775 0.500
0.592 0.292 0.299
0.993 0.292 0.701
```